Material: ZrSbCl2
Method: DFT, GGA-PBE
State: relaxed

Structure (POSCAR):
```
ZrSbCl2
1.0
3.088 -4.563 0.000
3.088 4.563 0.000
0.000 0.000 3.166
Zr Sb Cl
1 1 2
Cartesian
0.000 0.000 0.000 Zr
3.088 0.000 0.000 Sb
1.544 2.281 1.583 Cl
1.544 -2.281 1.583 Cl
```

Properties
SG: No. 65
Energy above the lowest structure with this stoichiometry (meV/atom): 904
Uncorrected energy (eV per atom): -4.263


Material: Na2Cd5Hg3
Method: DFT, GGA-PBE
State: relaxed

Structure (POSCAR):
```
Na2Cd5Hg3
1.0
-6.226 6.884 3.116
6.226 -6.884 3.116
6.226 6.884 -3.116
Na Cd Hg
4 10 6
Cartesian
1.529 3.399 0.000 Na
7.755 3.485 0.000 Na
-1.529 3.399 3.116 Na
4.697 3.485 3.116 Na
4.622 2.013 0.000 Cd
3.144 6.884 -1.558 Cd
0.000 0.000 1.558 Cd
3.082 0.000 1.558 Cd
4.622 -2.013 3.116 Cd
1.604 8.897 0.000 Cd
3.144 6.884 1.558 Cd
0.000 0.000 4.674 Cd
3.082 0.000 4.674 Cd
1.604 4.872 3.116 Cd
4.664 -4.799 3.116 Hg
6.226 0.000 1.558 Hg
4.664 4.799 0.000 Hg
1.562 2.085 3.116 Hg
0.000 6.884 1.558 Hg
1.562 11.683 0.000 Hg
```

Properties
SG: No. 72
Energy above the lowest structure with this stoichiometry (meV/atom): 33
Uncorrected energy (eV per atom): -0.879
E_form (meV per atom): -67


Material: Ca2TbLu
Method: DFT, GGA-PBE
State: relaxed

Structure (POSCAR):
```
Ca2TbLu
1.0
5.099 0.000 0.000
0.000 5.099 0.000
0.000 0.000 5.444
Ca Tb Lu
2 1 1
Cartesian
0.000 2.550 0.000 Ca
2.550 0.000 0.000 Ca
0.000 0.000 2.722 Tb
2.550 2.550 2.722 Lu
```

Properties
SG: No. 123
Energy above the lowest structure with this stoichiometry (meV/atom): 0
Uncorrected energy (eV per atom): -3.092
E_form (meV per atom): 197


Material: PmAl6
Method: DFT, GGA-PBE
State: relaxed

Structure (POSCAR):
```
PmAl6
1.0
5.946 0.000 0.000
0.000 5.946 0.000
0.000 0.000 7.940
Pm Al
2 12
Cartesian
1.486 4.459 0.000 Pm
4.459 1.486 0.000 Pm
0.425 3.398 2.817 Al
0.425 5.521 5.123 Al
1.486 1.486 1.276 Al
1.486 1.486 6.664 Al
2.548 3.398 5.123 Al
2.548 5.521 2.817 Al
3.398 0.425 5.123 Al
3.398 2.548 2.817 Al
4.459 4.459 1.276 Al
4.459 4.459 6.664 Al
5.521 0.425 2.817 Al
5.521 2.548 5.123 Al
```

Properties
SG: No. 125
Energy above the lowest structure with this stoichiometry (meV/atom): 0
Uncorrected energy (eV per atom): -4.091
E_form (meV per atom): -205


Material: BaCuSi3
Method: DFT, GGA-PBE
State: relaxed

Structure (POSCAR):
```
BaCuSi3
1.0
5.606 0.000 0.000
0.000 5.606 0.000
0.000 0.000 5.606
Ba Cu Si
1 1 3
Cartesian
0.000 0.000 0.000 Ba
2.803 2.803 2.803 Cu
0.000 0.000 2.803 Si
0.000 2.803 0.000 Si
2.803 0.000 0.000 Si
```

Properties
SG: No. 221
Uncorrected energy (eV per atom): -2.353


Material: Co2OsRh6
Method: DFT, GGA-PBE
State: relaxed

Structure (POSCAR):
```
Co2OsRh6
1.0
2.617 1.511 6.008
-2.617 1.511 6.008
0.000 -3.022 6.008
Co Os Rh
2 1 6
Cartesian
0.000 0.000 0.000 Co
0.000 0.000 2.309 Co
0.000 0.000 13.404 Os
-1.267 -0.731 9.261 Rh
0.000 -1.566 11.454 Rh
-1.357 0.783 11.454 Rh
1.267 -0.731 9.261 Rh
0.000 1.463 9.261 Rh
1.357 0.783 11.454 Rh
```

Properties
SG: No. 160
Uncorrected energy (eV per atom): -7.166
E_form (meV per atom): 562


Material: Pa2Bi2O7
Method: DFT, GGA-PBE
State: relaxed

Structure (POSCAR):
```
Pa2Bi2O7
1.0
3.757 -3.974 0.000
3.757 3.974 0.000
0.000 0.000 5.776
Pa Bi O
2 2 7
Cartesian
3.757 2.165 0.000 Pa
3.757 -2.165 0.000 Pa
2.018 0.000 2.888 Bi
5.496 0.000 2.888 Bi
0.000 0.000 1.259 O
0.000 0.000 4.517 O
1.879 1.987 1.362 O
1.879 1.987 4.414 O
1.879 -1.987 1.362 O
1.879 -1.987 4.414 O
3.757 0.000 0.000 O
```

Properties
SG: No. 65
Energy above the lowest structure with this stoichiometry (meV/atom): 0
Uncorrected energy (eV per atom): -8.128


Material: CuC3
Method: DFT, GGA-PBE
State: relaxed

Structure (POSCAR):
```
CuC3
1.0
3.511 0.000 0.000
0.000 3.511 0.000
0.000 0.000 2.715
Cu C
1 3
Cartesian
0.000 0.000 0.000 Cu
0.000 1.755 1.357 C
1.755 0.000 1.357 C
1.755 1.755 0.000 C
```

Properties
SG: No. 123
Energy above the lowest structure with this stoichiometry (meV/atom): 2617
Uncorrected energy (eV per atom): -4.724
E_form (meV per atom): 3217


Material: Ta2Cd
Method: DFT, GGA-PBE
State: relaxed

Structure (POSCAR):
```
Ta2Cd
1.0
-1.415 2.397 9.272
1.415 -2.397 9.272
1.415 2.397 -9.272
Ta Cd
4 2
Cartesian
0.000 1.198 0.721 Ta
0.000 1.198 3.461 Ta
1.415 1.198 5.811 Ta
1.415 1.198 8.550 Ta
1.415 1.198 -2.157 Cd
0.000 1.198 11.429 Cd
```

Properties
SG: No. 74
Uncorrected energy (eV per atom): -7.526
E_form (meV per atom): 680


Material: DyScAu
Method: DFT, GGA-PBE
State: relaxed

Structure (POSCAR):
```
DyScAu
1.0
4.777 0.000 0.000
0.000 6.271 3.614
0.000 -6.271 3.614
Dy Sc Au
3 3 3
Cartesian
0.000 0.000 0.000 Dy
0.000 -2.567 2.785 Dy
0.000 2.567 2.785 Dy
2.389 0.000 2.422 Sc
2.389 -1.601 5.190 Sc
2.389 1.601 5.190 Sc
0.000 0.000 4.265 Au
2.389 -4.180 4.269 Au
2.389 4.180 4.269 Au
```

Properties
SG: No. 38
Energy above the lowest structure with this stoichiometry (meV/atom): 0
Uncorrected energy (eV per atom): -5.373
E_form (meV per atom): -636


Material: Na3Tl2Cd5
Method: DFT, GGA-PBE
State: relaxed

Structure (POSCAR):
```
Na3Tl2Cd5
1.0
-4.688 6.214 4.921
4.688 -6.214 4.921
4.688 6.214 -4.921
Na Tl Cd
6 4 10
Cartesian
2.289 1.559 0.000 Na
0.000 0.000 2.461 Na
2.289 -1.559 4.921 Na
2.399 7.773 0.000 Na
0.000 0.000 7.382 Na
2.399 4.655 4.921 Na
3.742 -4.515 4.921 Tl
3.742 4.515 0.000 Tl
0.946 1.699 4.921 Tl
0.946 10.729 0.000 Tl
4.688 -2.981 2.461 Cd
5.491 1.458 0.000 Cd
4.688 0.000 2.461 Cd
0.804 4.756 0.000 Cd
4.688 2.981 2.461 Cd
0.000 3.233 2.461 Cd
3.884 1.458 4.921 Cd
0.000 6.214 2.461 Cd
-0.804 4.756 4.921 Cd
0.000 9.195 2.461 Cd
```

Properties
SG: No. 72
Energy above the lowest structure with this stoichiometry (meV/atom): 14
Uncorrected energy (eV per atom): -1.351
E_form (meV per atom): -24


Material: Dy4ScGa4
Method: DFT, GGA-PBE
State: relaxed

Structure (POSCAR):
```
Dy4ScGa4
1.0
8.635 0.000 0.000
0.000 8.635 0.000
0.000 0.000 5.673
Dy Sc Ga
8 2 8
Cartesian
0.671 7.139 0.720 Dy
1.496 4.988 3.557 Dy
2.821 7.964 3.557 Dy
3.647 5.814 0.720 Dy
4.988 2.821 4.952 Dy
5.814 0.671 2.116 Dy
7.139 3.647 2.116 Dy
7.964 1.496 4.952 Dy
2.159 2.159 4.255 Sc
6.476 6.476 1.418 Sc
0.491 1.390 2.076 Ga
1.390 3.826 0.761 Ga
2.927 0.491 0.761 Ga
3.826 2.927 2.076 Ga
4.809 5.707 3.597 Ga
5.707 8.144 4.912 Ga
7.245 4.809 4.912 Ga
8.144 7.245 3.597 Ga
```

Properties
SG: No. 86
Uncorrected energy (eV per atom): -4.443
E_form (meV per atom): -349